The following is a PBE with a Hubbard U calculation of a relaxed Mn2TcO4 crystal, from Alexandria via LeMat-Bulk.

Output
final energy = -7.92 eV/atom
N(E_F) = 4.33 states/eV/cell

abc: 6.334 6.334 6.334
angles: 120.79 121.53 88.00
Sites, in units of the cell vectors:
O 0.251 0.276 0.525
O 0.292 0.277 0.015
O 0.251 0.726 0.975
O 0.708 0.723 0.985
O 0.749 0.724 0.475
O 0.763 0.277 0.485
O 0.749 0.274 0.025
O 0.237 0.723 0.515
Mn 0.887 0.137 0.750
Mn 0.113 0.863 0.250
Mn 0.500 0.500 0.500
Mn 0.500 0.000 0.000
Tc 0.000 0.500 0.500
Tc 0.500 0.500 0.000